No. 1
DFT (PBE-GGA) results for a geometry-optimized MgIn4PbS8 structure.

Summary:
Calculated density = 4564 kg/m³
Symmetry = R3m (160)
Spin magnetization = 0.00 μB/atom
VASP energy = -4.1363 eV/atom

```
MgIn4PbS8
1.0
3.9321 2.2702 6.4345
-3.9321 2.2702 6.4345
0.0000 -4.5404 6.4345
Mg In Pb S
1 4 1 8
Cartesian
0.0000 0.0000 0.0000
0.0000 -2.3317 10.5626
-2.0193 1.1659 10.5626
0.0000 0.0000 14.7047
2.0193 1.1659 10.5626
0.0000 0.0000 7.2400
0.0000 -2.2465 5.4929
-1.9456 1.1233 5.4929
0.0000 0.0000 2.5896
-1.8852 -1.0884 9.1135
1.9456 1.1233 5.4929
0.0000 0.0000 12.0557
1.8852 -1.0884 9.1135
0.0000 2.1769 9.1135
```

---

No. 2
DFT (PBE-GGA) results for a geometry-optimized MgInSbPb structure.

Summary:
Calculated density = 7044 kg/m³
Symmetry = F-43m (216)
Spin magnetization = 0.00 μB/atom
VASP energy = -3.0094 eV/atom

```
MgInSbPb
1.0
0.0000 3.8070 3.8070
3.8070 0.0000 3.8070
3.8070 3.8070 0.0000
Mg In Sb Pb
1 1 1 1
Cartesian
0.0000 0.0000 0.0000
5.7105 5.7105 5.7105
1.9035 1.9035 1.9035
3.8070 3.8070 3.8070
```

---

No. 3
DFT (PBE-GGA) results for a geometry-optimized MgScInPb structure.

Summary:
Polymorph energy (0 for the lowest one) = 142.4 meV/atom
Calculated formation energy = -0.13 eV/atom
Calculated density = 6646 kg/m³
Symmetry = F-43m (216)
Spin magnetization = 0.00 μB/atom
VASP energy = -3.7185 eV/atom

```
MgScInPb
1.0
0.0000 3.6564 3.6564
3.6564 0.0000 3.6564
3.6564 3.6564 0.0000
Mg Sc In Pb
1 1 1 1
Cartesian
0.0000 0.0000 0.0000
3.6564 3.6564 3.6564
5.4846 5.4846 5.4846
1.8282 1.8282 1.8282
```

---

No. 4
DFT (PBE-GGA) results for a geometry-optimized MgScInPb structure.

Summary:
Polymorph energy (0 for the lowest one) = 0.0 meV/atom
Calculated formation energy = -0.27 eV/atom
Calculated density = 6873 kg/m³
Symmetry = Pmmm (47)
Spin magnetization = 0.00 μB/atom
VASP energy = -3.8609 eV/atom

```
MgScInPb
1.0
4.3439 0.0000 0.0000
0.0000 4.5828 0.0000
0.0000 0.0000 4.7489
Mg Sc In Pb
1 1 1 1
Cartesian
0.0000 0.0000 0.0000
0.0000 2.2914 2.3744
2.1720 2.2914 0.0000
2.1720 0.0000 2.3744
```

---

No. 5
DFT (PBE-GGA) results for a geometry-optimized SmMg2InPb structure.

Summary:
Calculated formation energy = -0.13 eV/atom
Calculated density = 5973 kg/m³
Symmetry = Cmcm (63)
Spin magnetization = 0.00 μB/atom
VASP energy = -3.0044 eV/atom

```
SmMg2InPb
1.0
1.8064 -8.8745 0.0000
1.8064 8.8745 0.0000
0.0000 0.0000 9.0352
Sm Mg In Pb
2 4 2 2
Cartesian
1.8064 7.3394 6.7764
1.8064 -7.3394 2.2588
1.8064 2.9173 4.9661
1.8064 2.9173 8.5867
1.8064 -2.9173 0.4485
1.8064 -2.9173 4.0691
1.8064 0.0000 0.0000
1.8064 0.0000 4.5176
1.8064 4.3985 2.2588
1.8064 -4.3985 6.7764
```

---

No. 6
DFT (PBE-GGA) results for a geometry-optimized SmMgInPb structure.

Summary:
Polymorph energy (0 for the lowest one) = 0.0 meV/atom
Calculated formation energy = -0.40 eV/atom
Calculated density = 7838 kg/m³
Symmetry = Pmmm (47)
Spin magnetization = 0.00 μB/atom
VASP energy = -3.5896 eV/atom

```
SmMgInPb
1.0
4.5435 0.0000 0.0000
0.0000 4.7415 0.0000
0.0000 0.0000 4.8846
Sm Mg In Pb
1 1 1 1
Cartesian
0.0000 0.0000 0.0000
0.0000 2.3707 2.4423
2.2717 0.0000 2.4423
2.2717 2.3707 0.0000
```

---

No. 7
DFT (PBE-GGA) results for a geometry-optimized SmMgInPb structure.

Summary:
Polymorph energy (0 for the lowest one) = 162.9 meV/atom
Calculated formation energy = -0.24 eV/atom
Calculated density = 7580 kg/m³
Symmetry = F-43m (216)
Spin magnetization = 0.00 μB/atom
VASP energy = -3.4267 eV/atom

```
SmMgInPb
1.0
0.0000 3.7892 3.7892
3.7892 0.0000 3.7892
3.7892 3.7892 0.0000
Sm Mg In Pb
1 1 1 1
Cartesian
0.0000 0.0000 0.0000
3.7892 3.7892 3.7892
1.8946 1.8946 1.8946
5.6837 5.6837 5.6837
```

---

No. 8
DFT (PBE-GGA) results for a geometry-optimized MgInSnPb structure.

Summary:
Polymorph energy (0 for the lowest one) = 0.0 meV/atom
Calculated formation energy = -0.02 eV/atom
Calculated density = 7247 kg/m³
Symmetry = P4mm (99)
Spin magnetization = 0.00 μB/atom
VASP energy = -3.0347 eV/atom

```
MgInSnPb
1.0
3.4713 0.0000 0.0000
0.0000 3.4713 0.0000
0.0000 0.0000 8.8424
Mg In Sn Pb
1 1 1 1
Cartesian
0.0000 0.0000 0.0000
1.7357 1.7357 6.8537
1.7357 1.7357 1.9573
0.0000 0.0000 4.4288
```

---

No. 9
DFT (PBE-GGA) results for a geometry-optimized MgInSnPb structure.

Summary:
Polymorph energy (0 for the lowest one) = 41.3 meV/atom
Calculated formation energy = 0.02 eV/atom
Calculated density = 7071 kg/m³
Symmetry = F-43m (216)
Spin magnetization = 0.00 μB/atom
VASP energy = -2.9934 eV/atom

```
MgInSnPb
1.0
0.0000 3.7939 3.7939
3.7939 0.0000 3.7939
3.7939 3.7939 0.0000
Mg In Sn Pb
1 1 1 1
Cartesian
0.0000 0.0000 0.0000
5.6908 5.6908 5.6908
1.8969 1.8969 1.8969
3.7939 3.7939 3.7939
```

---

No. 10
DFT (PBE-GGA) results for a geometry-optimized Mg2In5SnPb structure.

Summary:
Calculated formation energy = 0.09 eV/atom
Calculated density = 6306 kg/m³
Symmetry = I4/mcm (140)
Spin magnetization = 0.00 μB/atom
VASP energy = -2.6458 eV/atom

```
Mg2In5SnPb
1.0
-4.0699 4.0699 7.5408
4.0699 -4.0699 7.5408
4.0699 4.0699 -7.5408
Mg In Sn Pb
4 10 2 2
Cartesian
5.0628 0.9929 0.0000
0.9929 3.0769 0.0000
3.0769 0.9929 7.5408
-0.9929 3.0769 7.5408
0.0000 0.0000 0.0000
2.4097 1.6601 -2.0245
2.4097 -1.6601 5.5163
2.4097 1.6601 2.0245
2.4097 -1.6601 9.5652
0.0000 0.0000 7.5408
1.6601 5.7300 -2.0245
1.6601 2.4097 5.5163
1.6601 5.7300 2.0245
1.6601 2.4097 9.5652
4.0699 0.0000 3.7704
0.0000 4.0699 3.7704
0.0000 0.0000 3.7704
0.0000 0.0000 11.3111
```

---

No. 11
DFT (PBE-GGA) results for a geometry-optimized SrMg2In2Pb structure.

Summary:
Calculated formation energy = -0.21 eV/atom
Calculated density = 5700 kg/m³
Symmetry = P-3m1 (164)
Spin magnetization = 0.00 μB/atom
VASP energy = -2.5550 eV/atom

```
SrMg2In2Pb
1.0
5.2981 0.0000 0.0000
-2.6490 4.5883 0.0000
0.0000 0.0000 6.8676
Sr Mg In Pb
1 2 2 1
Cartesian
0.0000 0.0000 0.0000
0.0000 3.0588 4.8194
2.6490 1.5294 2.0481
0.0000 3.0588 1.5121
2.6490 1.5294 5.3555
0.0000 0.0000 3.4338
```

---

No. 12
DFT (PBE-GGA) results for a geometry-optimized SrMgInPb structure.

Summary:
Calculated formation energy = -0.26 eV/atom
Calculated density = 6122 kg/m³
Symmetry = F-43m (216)
Spin magnetization = 0.00 μB/atom
VASP energy = -2.6950 eV/atom

```
SrMgInPb
1.0
0.0000 3.8897 3.8897
3.8897 0.0000 3.8897
3.8897 3.8897 0.0000
Sr Mg In Pb
1 1 1 1
Cartesian
0.0000 0.0000 0.0000
3.8897 3.8897 3.8897
5.8345 5.8345 5.8345
1.9448 1.9448 1.9448
```

---

No. 13
DFT (PBE-GGA) results for a geometry-optimized SrMg2InPb2 structure.

Summary:
Calculated formation energy = -0.20 eV/atom
Calculated density = 6334 kg/m³
Symmetry = Pnnm (58)
Spin magnetization = 0.00 μB/atom
VASP energy = -2.7087 eV/atom

```
SrMg2InPb2
1.0
7.5509 0.0000 0.0000
0.0000 9.3271 0.0000
0.0000 0.0000 4.9542
Sr Mg In Pb
2 4 2 4
Cartesian
0.0000 0.0000 0.0000
3.7754 4.6635 2.4771
1.3639 3.2884 0.0000
2.4115 7.9519 2.4771
5.1394 1.3751 2.4771
6.1869 6.0387 0.0000
0.0000 4.6635 2.4771
3.7754 0.0000 0.0000
1.7963 6.3017 0.0000
1.9791 1.6381 2.4771
5.5718 7.6889 2.4771
5.7545 3.0254 0.0000
```

---

No. 14
DFT (PBE-GGA) results for a geometry-optimized Mg2TaInPb structure.

Summary:
Calculated formation energy = 1.33 eV/atom
Calculated density = 5934 kg/m³
Symmetry = P4/mmm (123)
Spin magnetization = 0.58 μB/atom
VASP energy = -2.9706 eV/atom

```
Mg2TaInPb
1.0
5.1831 0.0000 0.0000
0.0000 5.1831 0.0000
0.0000 0.0000 5.7450
Mg Ta In Pb
2 1 1 1
Cartesian
0.0000 2.5916 0.0000
2.5916 0.0000 0.0000
0.0000 0.0000 2.8725
2.5916 2.5916 0.0000
2.5916 2.5916 2.8725
```

---

No. 15
DFT (PBE-GGA) results for a geometry-optimized TbMgInPb structure.

Summary:
Polymorph energy (0 for the lowest one) = 157.8 meV/atom
Calculated formation energy = -0.21 eV/atom
Calculated density = 7883 kg/m³
Symmetry = F-43m (216)
Spin magnetization = 0.00 μB/atom
VASP energy = -3.3819 eV/atom

```
TbMgInPb
1.0
0.0000 3.7613 3.7613
3.7613 0.0000 3.7613
3.7613 3.7613 0.0000
Tb Mg In Pb
1 1 1 1
Cartesian
0.0000 0.0000 0.0000
3.7613 3.7613 3.7613
5.6420 5.6420 5.6420
1.8807 1.8807 1.8807
```

---

No. 16
DFT (PBE-GGA) results for a geometry-optimized TbMgInPb structure.

Summary:
Polymorph energy (0 for the lowest one) = 0.0 meV/atom
Calculated formation energy = -0.37 eV/atom
Calculated density = 8174 kg/m³
Symmetry = Pmmm (47)
Spin magnetization = 0.00 μB/atom
VASP energy = -3.5397 eV/atom

```
TbMgInPb
1.0
4.5033 0.0000 0.0000
0.0000 4.6953 0.0000
0.0000 0.0000 4.8545
Tb Mg In Pb
1 1 1 1
Cartesian
0.0000 0.0000 0.0000
0.0000 2.3477 2.4273
2.2517 0.0000 2.4273
2.2517 2.3477 0.0000
```

---

No. 17
DFT (PBE-GGA) results for a geometry-optimized MgIn2TcPb structure.

Summary:
Calculated formation energy = 0.96 eV/atom
Calculated density = 6703 kg/m³
Symmetry = P4/mmm (123)
Spin magnetization = 0.54 μB/atom
VASP energy = -3.2682 eV/atom

```
MgIn2TcPb
1.0
5.2697 0.0000 0.0000
0.0000 5.2697 0.0000
0.0000 0.0000 4.9880
Mg In Tc Pb
1 2 1 1
Cartesian
0.0000 0.0000 0.0000
0.0000 2.6349 0.0000
2.6349 0.0000 0.0000
0.0000 0.0000 2.4940
2.6349 2.6349 2.4940
```

---

No. 18
DFT (PBE-GGA) results for a geometry-optimized MgInTe5Pb2 structure.

Summary:
Calculated density = 6491 kg/m³
Symmetry = Cmc2_1 (36)
Spin magnetization = 0.00 μB/atom
VASP energy = -3.4072 eV/atom

```
MgInTe5Pb2
1.0
2.2156 -10.0731 0.0000
2.2156 10.0731 0.0000
0.0000 0.0000 13.6570
Mg In Te Pb
2 2 10 4
Cartesian
2.2156 5.3086 6.8285
2.2156 -5.3086 0.0000
2.2156 1.4814 12.2584
2.2156 -1.4814 5.4299
2.2156 8.9628 7.1609
2.2156 4.6274 1.9776
2.2156 4.2685 11.7945
2.2156 2.5594 6.0988
2.2156 0.0035 3.0846
2.2156 -0.0035 9.9131
2.2156 -2.5594 12.9273
2.2156 -4.2685 4.9660
2.2156 -4.6274 8.8061
2.2156 -8.9628 0.3324
2.2156 8.1328 1.3728
2.2156 7.5978 10.2854
2.2156 -7.5978 3.4568
2.2156 -8.1328 8.2013
```

---

No. 19
DFT (PBE-GGA) results for a geometry-optimized ThMg2InPb structure.

Summary:
Calculated formation energy = -0.01 eV/atom
Calculated density = 6796 kg/m³
Symmetry = Cmcm (63)
Spin magnetization = 0.00 μB/atom
VASP energy = -3.4249 eV/atom

```
ThMg2InPb
1.0
1.7095 -9.0106 0.0000
1.7095 9.0106 0.0000
0.0000 0.0000 9.5591
Th Mg In Pb
2 4 2 2
Cartesian
1.7095 7.5103 7.1693
1.7095 -7.5103 2.3898
1.7095 2.9591 5.1829
1.7095 2.9591 9.1557
1.7095 -2.9591 0.4033
1.7095 -2.9591 4.3762
1.7095 0.0000 0.0000
1.7095 0.0000 4.7795
1.7095 4.4569 2.3898
1.7095 -4.4569 7.1693
```

---

No. 20
DFT (PBE-GGA) results for a geometry-optimized ThMgInPb structure.

Summary:
Polymorph energy (0 for the lowest one) = 0.0 meV/atom
Calculated formation energy = -0.27 eV/atom
Calculated density = 8846 kg/m³
Symmetry = Pmmm (47)
Spin magnetization = 0.00 μB/atom
VASP energy = -4.1361 eV/atom

```
ThMgInPb
1.0
4.5835 0.0000 0.0000
0.0000 4.8449 0.0000
0.0000 0.0000 4.8892
Th Mg In Pb
1 1 1 1
Cartesian
0.0000 0.0000 0.0000
0.0000 2.4225 2.4446
2.2917 0.0000 2.4446
2.2917 2.4225 0.0000
```